Density functional theory data (GGA-PBE) for SnHgS3 after structural relaxation.

Geometry as POSCAR:
```
SnHgS3
1.0
3.819 0.000 0.000
0.000 3.522 6.261
0.000 -3.522 6.261
Sn Hg S
1 1 3
Cartesian
0.000 0.000 0.000
1.909 0.000 4.047
0.000 0.000 2.456
1.909 -1.816 5.931
1.909 1.816 5.931
```

Formation energy without anion corrections, eV/atom: -0.078
V, Å³ per cell: 168.43
Symmetry: Amm2, No. 38
E above lowest polymorph, meV per atom: 163.9